# 1
10
Lattice="-3.7817 -1.0920 -1.0190 1.3890 -3.5910 -1.3067 -2.2215 -6.3264 15.0243" Properties=species:S:1:pos:R:3 comment="PmUTe2C, optimized geometry, DFT PBE-GGA" dos_at_fermi_per_ev_cell=10.18 dft_energy_ev_per_atom=-7.07 raw_formation_energy_ev_per_atom=-0.758 pbc="T T T"
Te -3.9346 -6.3662 13.3127
Pm -1.2069 -7.2103 12.2061
Te 0.5168 -2.3017 0.5487
Pm -2.2109 -1.4576 1.6554
C -1.1108 -3.1632 7.5122
Te -0.7960 -6.0399 9.4267
Te -2.6219 -2.6279 4.4348
C -2.3071 -5.5047 6.3493
U -0.2681 -4.5366 5.8565
U -3.1498 -4.1312 8.0050


# 2
12
Lattice="-1.8212 2.5080 1.5379 -4.8586 -1.3191 -3.6023 -3.2668 -6.5433 6.8021" Properties=species:S:1:pos:R:3 comment="TiNb2As3, optimized geometry, DFT PBE-GGA" dos_at_fermi_per_ev_cell=10.30 formation_enthalpy_0k_mev_per_atom=-635.6 dft_energy_ev_per_atom=-7.63 pbc="T T T"
As -4.1695 -3.6832 4.9614
As -2.7307 -2.8737 1.4528
Ti -2.9575 -5.8323 6.0091
Nb -5.1307 -2.9478 2.6239
As -2.0319 0.6400 0.4425
Ti -2.8441 -1.3991 -1.0863
As -5.1847 -1.5103 0.2157
As -7.3705 -5.8465 4.6988
As -5.9638 -5.1431 1.3252
Nb -5.5230 -2.7036 -2.1312
Nb -4.9696 -5.8014 3.5760
Nb -2.4381 -1.7609 3.8768


# 3
5
Lattice="-0.5833 -1.9844 -4.4992 2.8546 -1.4561 0.2721 -2.2050 -3.9442 2.0255" Properties=species:S:1:pos:R:3 comment="CaBeNb2C, optimized geometry, DFT PBE-GGA" dos_at_fermi_per_ev_cell=3.46 formation_enthalpy_0k_mev_per_atom=1183.2 dft_energy_ev_per_atom=-5.84 pbc="T T T"
Be 0.0000 0.0000 0.0000
Nb -0.2917 -0.9922 -2.2496
Nb -1.1025 -1.9721 1.0128
C 1.4273 -0.7280 0.1361
Ca 0.0331 -3.6924 -1.1008


# 4
12
Lattice="-1.2683 -2.6830 3.0177 -5.4036 -3.6911 -5.5528 8.5604 -3.4807 -2.4650" Properties=species:S:1:pos:R:3 comment="Pm6Sb2TeS3, optimized geometry, DFT PBE-GGA" dos_at_fermi_per_ev_cell=4.93 dft_energy_ev_per_atom=-5.99 raw_formation_energy_ev_per_atom=-1.629 pbc="T T T"
Sb 1.0505 -7.0304 -2.8411
S 3.7654 -5.1759 -0.0512
Pm -1.3087 -5.0966 -2.1132
Sb 0.8381 -2.8244 -2.1590
Pm 3.1973 -4.7583 -2.8868
Pm 5.7131 -7.1193 -0.9605
Te -0.6341 -1.3415 1.5089
Pm -3.8245 -2.7356 -4.0396
S -1.8769 -4.6789 -4.9488
S -3.3359 -3.1871 -1.2675
Pm 0.1273 -6.5590 -5.7781
Pm 1.7613 -3.2959 0.7780


# 5
5
Lattice="-1.3518 1.3893 -4.9111 3.8413 -3.0681 -1.9253 -3.3605 -4.0660 -0.2252" Properties=species:S:1:pos:R:3 comment="CaTlAu3, optimized geometry, DFT PBE-GGA" dos_at_fermi_per_ev_cell=2.00 formation_enthalpy_0k_mev_per_atom=86.6 dft_energy_ev_per_atom=-2.75 de_polymorph_mev_per_atom=513 pbc="T T T"
Au -0.6759 0.6946 -2.4555
Au 1.9207 -1.5341 -0.9626
Tl 0.0000 0.0000 0.0000
Au -1.6802 -2.0330 -0.1126
Ca -0.4355 -2.8724 -3.5308


# 6
3
Lattice="-4.1942 0.0327 -0.7560 -1.5445 -1.8340 -3.5235 -2.2451 -3.6113 0.2863" Properties=species:S:1:pos:R:3 comment="CuHgPt, optimized geometry, DFT PBE-GGA" dos_at_fermi_per_ev_cell=1.53 formation_enthalpy_0k_mev_per_atom=162.7 dft_energy_ev_per_atom=-3.32 de_polymorph_mev_per_atom=145 pbc="T T T"
Cu -5.9879 -4.0595 -2.9949
Hg 0.0000 0.0000 0.0000
Pt -3.9919 -2.7063 -1.9966


# 7
8
Lattice="6.3807 0.0000 0.0000 0.0000 6.3807 0.0000 3.1904 3.1904 6.0488" Properties=species:S:1:pos:R:3 comment="NiSn2Te, optimized geometry, DFT PBE-GGA" dos_at_fermi_per_ev_cell=1.14 dft_energy_ev_per_atom=-4.18 raw_formation_energy_ev_per_atom=0.055 pbc="T T T"
Ni 3.1904 3.1904 0.0000
Ni 3.1904 6.3807 3.0244
Te 6.3807 3.1904 3.0244
Sn 4.7856 5.2606 4.5366
Sn 7.9759 7.5009 4.5366
Sn 2.0702 4.7856 1.5122
Te 0.0000 0.0000 0.0000
Sn 4.3105 1.5952 1.5122


# 8
8
Lattice="-4.7719 4.8663 5.8982 -7.2903 -4.9928 -1.7788 -5.2732 -1.9398 4.2211" Properties=species:S:1:pos:R:3 comment="CrPbBr2, optimized geometry, DFT PBE-GGA" dos_at_fermi_per_ev_cell=9.56 dft_energy_ev_per_atom=-4.28 raw_formation_energy_ev_per_atom=-0.106 de_polymorph_mev_per_atom=191 pbc="T T T"
Br -9.4361 -2.1583 4.4768
Br -7.0982 -2.3578 1.4558
Br -4.5850 1.2930 3.7443
Cr -6.0311 -0.0633 2.0597
Pb -8.0381 1.4316 6.0895
Pb 0.0000 0.0000 0.0000
Br -13.5514 -0.9096 7.0040
Cr -9.2973 -3.4980 2.2510


# 9
28
Lattice="-5.3267 -7.2240 -1.0653 -1.1571 -5.8081 6.8280 -7.9518 -0.4216 4.2761" Properties=species:S:1:pos:R:3 comment="Li2Ga4Ge, optimized geometry, DFT PBE-GGA" dos_at_fermi_per_ev_cell=5.51 formation_enthalpy_0k_mev_per_atom=-109.2 dft_energy_ev_per_atom=-3.05 pbc="T T T"
Ga -4.4997 -3.1292 5.3759
Ga -10.4236 -7.2128 4.0628
Ga -3.2631 -6.3335 2.8598
Li -11.7027 -9.2168 5.9863
Ga -8.2181 -6.4639 8.2379
Ge -4.4678 -5.2937 0.7222
Ga -2.7181 -3.5976 -0.3565
Ga -4.0120 -6.2409 5.9761
Ga -5.0463 -8.1977 4.1362
Ga -9.0222 -8.4085 6.2743
Ga -6.4638 -3.7962 1.6578
Ga -8.4437 -5.5045 2.8603
Ga -0.7540 -2.9306 3.3616
Ge -1.8044 -1.6817 1.2549
Li -6.3418 -7.6003 6.5622
Ga -6.3589 -4.7966 6.8069
Ga -3.9546 -0.3933 2.1596
Ga -7.6060 -3.3917 4.6263
Ga -6.2175 -6.9898 1.8009
Ge -5.7803 -1.8925 3.3929
Li -12.1161 -11.2919 8.4258
Li -5.9284 -5.5252 4.1227
Ga -6.8295 -10.0620 5.4126
Ge -2.3830 -4.5858 4.6688
Li -8.7694 -5.6758 5.6505
Li -9.2751 -11.1413 6.8980
Li -7.8315 -8.1061 3.7421
Li -10.2129 -8.7110 8.8064


# 10
4
Lattice="-3.7288 1.6699 -1.3868 -4.2248 -0.8757 0.0135 -0.5744 2.4450 4.2413" Properties=species:S:1:pos:R:3 comment="Fe2PAu, optimized geometry, DFT PBE-GGA" dos_at_fermi_per_ev_cell=2.65 formation_enthalpy_0k_mev_per_atom=63.2 dft_energy_ev_per_atom=-6.34 pbc="T T T"
Au -6.1201 2.4772 2.3355
Fe -7.8477 0.9258 -1.0965
P -4.5170 1.3756 0.9008
Fe -2.2607 0.8743 0.7888


# 11
5
Lattice="4.9803 0.0000 0.0000 0.0000 5.3409 0.0000 0.0000 0.0000 4.9803" Properties=species:S:1:pos:R:3 comment="Li2VPbSe, optimized geometry, DFT PBE-GGA" dos_at_fermi_per_ev_cell=4.76 dft_energy_ev_per_atom=-3.42 raw_formation_energy_ev_per_atom=0.612 pbc="T T T"
Se 2.4902 2.6704 2.4902
Pb 0.0000 2.6704 0.0000
Li 2.4902 0.0000 0.0000
V 0.0000 0.0000 0.0000
Li 0.0000 0.0000 2.4902


# 12
12
Lattice="-2.2464 -3.7878 1.1503 9.1593 -2.8425 -0.4783 -1.4704 4.2912 11.2596" Properties=species:S:1:pos:R:3 comment="Pb2I3F, optimized geometry, DFT PBE-GGA" dos_at_fermi_per_ev_cell=0.00 dft_energy_ev_per_atom=-3.34 raw_formation_energy_ev_per_atom=-1.018 pbc="T T T"
Pb 5.1655 -4.8222 3.2133
F -1.4098 0.3859 7.5229
Pb -0.1882 -0.8749 5.7568
Pb 5.6307 -1.4642 6.1748
I 1.0103 0.2829 2.9046
I 2.9877 -3.0183 4.9007
I 4.4322 -2.6219 9.0270
Pb 0.2770 2.4832 8.7183
F 6.8523 -2.7249 4.4087
I 2.4548 0.6793 7.0309
I -0.3484 0.9108 11.3242
I 5.7909 -3.2498 0.6074